Record 1
This record from Alexandria via LeMat-Bulk describes a crystal of GaBiSb2I relaxed with PBEsol. The functional is SCAN.

Summary:
V = 41.1 A^3/atom
Raw formation energy = 0.73 eV/atom
Symmetry = No. 123

Structure (CIF):
```
data_GaBiSb2I
_symmetry_space_group_name_H-M 'P 1'
_symmetry_Int_Tables_number 1
_cell_length_a 5.779
_cell_length_b 5.779
_cell_length_c 6.161
_cell_angle_alpha 90.00
_cell_angle_beta 90.00
_cell_angle_gamma 90.00
loop_
_symmetry_equiv_pos_as_xyz
'x,y,z'
loop_
_atom_site_label
_atom_site_type_symbol
_atom_site_fract_x
_atom_site_fract_y
_atom_site_fract_z
I1 I 0.000 0.000 0.500
Sb1 Sb 0.000 0.500 0.000
Sb2 Sb 0.500 0.000 0.000
Bi1 Bi 0.000 0.000 0.000
Ga1 Ga 0.500 0.500 0.500
```

Record 2
This record from Alexandria via LeMat-Bulk describes a crystal of InGaBi3 relaxed with PBEsol. The functional is SCAN.

Summary:
V = 32.4 A^3/atom
Symmetry = No. 221

Structure (CIF):
```
data_InGaBi3
_symmetry_space_group_name_H-M 'P 1'
_symmetry_Int_Tables_number 1
_cell_length_a 5.451
_cell_length_b 5.451
_cell_length_c 5.451
_cell_angle_alpha 90.00
_cell_angle_beta 90.00
_cell_angle_gamma 90.00
loop_
_symmetry_equiv_pos_as_xyz
'x,y,z'
loop_
_atom_site_label
_atom_site_type_symbol
_atom_site_fract_x
_atom_site_fract_y
_atom_site_fract_z
Bi1 Bi 0.000 0.500 0.000
In1 In 0.500 0.500 0.500
Bi2 Bi 0.500 0.000 0.000
Bi3 Bi 0.000 0.000 0.500
Ga1 Ga 0.000 0.000 0.000
```

Record 3
This record from Alexandria via LeMat-Bulk describes a crystal of InGa2Bi2 relaxed with PBEsol. The functional is SCAN.

Summary:
V = 26.6 A^3/atom
Symmetry = No. 139
Excess energy over the best structure of this formula in the dataset = 0.000 eV/atom

Structure (CIF):
```
data_InGa2Bi2
_symmetry_space_group_name_H-M 'P 1'
_symmetry_Int_Tables_number 1
_cell_length_a 4.203
_cell_length_b 4.203
_cell_length_c 8.102
_cell_angle_alpha 105.03
_cell_angle_beta 105.03
_cell_angle_gamma 90.00
loop_
_symmetry_equiv_pos_as_xyz
'x,y,z'
loop_
_atom_site_label
_atom_site_type_symbol
_atom_site_fract_x
_atom_site_fract_y
_atom_site_fract_z
Bi1 Bi 0.613 0.613 0.226
Ga1 Ga 0.250 0.750 0.500
Bi2 Bi 0.387 0.387 0.774
In1 In 0.000 0.000 0.000
Ga2 Ga 0.750 0.250 0.500
```

Record 4
This record from Alexandria via LeMat-Bulk describes a crystal of InGa2Bi2 relaxed with PBEsol. The functional is SCAN.

Summary:
V = 26.0 A^3/atom
Symmetry = No. 127
Excess energy over the best structure of this formula in the dataset = 0.037 eV/atom

Structure (CIF):
```
data_InGa2Bi2
_symmetry_space_group_name_H-M 'P 1'
_symmetry_Int_Tables_number 1
_cell_length_a 3.453
_cell_length_b 8.684
_cell_length_c 8.684
_cell_angle_alpha 90.00
_cell_angle_beta 90.00
_cell_angle_gamma 90.00
loop_
_symmetry_equiv_pos_as_xyz
'x,y,z'
loop_
_atom_site_label
_atom_site_type_symbol
_atom_site_fract_x
_atom_site_fract_y
_atom_site_fract_z
Bi1 Bi 0.000 0.344 0.844
Ga1 Ga 0.500 0.141 0.641
Bi2 Bi 0.000 0.656 0.156
Ga2 Ga 0.500 0.359 0.141
Ga3 Ga 0.500 0.859 0.359
In1 In 0.000 0.500 0.500
In2 In 0.000 0.000 0.000
Bi3 Bi 0.000 0.844 0.656
Ga4 Ga 0.500 0.641 0.859
Bi4 Bi 0.000 0.156 0.344
```

Record 5
This record from Alexandria via LeMat-Bulk describes a crystal of InGaBi2 relaxed with PBEsol. The functional is SCAN.

Summary:
V = 34.7 A^3/atom
Symmetry = No. 122

Structure (CIF):
```
data_InGaBi2
_symmetry_space_group_name_H-M 'P 1'
_symmetry_Int_Tables_number 1
_cell_length_a 6.537
_cell_length_b 6.537
_cell_length_c 7.972
_cell_angle_alpha 114.20
_cell_angle_beta 114.20
_cell_angle_gamma 90.00
loop_
_symmetry_equiv_pos_as_xyz
'x,y,z'
loop_
_atom_site_label
_atom_site_type_symbol
_atom_site_fract_x
_atom_site_fract_y
_atom_site_fract_z
Bi1 Bi 0.625 0.604 0.750
Bi2 Bi 0.125 0.146 0.750
Bi3 Bi 0.396 0.875 0.250
In1 In 0.250 0.750 0.500
Ga1 Ga 0.500 0.500 0.000
In2 In 0.000 0.000 0.000
Ga2 Ga 0.750 0.250 0.500
Bi4 Bi 0.854 0.375 0.250
```

Record 6
This record from Alexandria via LeMat-Bulk describes a crystal of In2GaBiS6 relaxed with PBEsol. The functional is SCAN.

Summary:
V = 23.0 A^3/atom
Raw formation energy = -0.62 eV/atom
Symmetry = No. 11

Structure (CIF):
```
data_In2GaBiS6
_symmetry_space_group_name_H-M 'P 1'
_symmetry_Int_Tables_number 1
_cell_length_a 3.787
_cell_length_b 11.132
_cell_length_c 12.265
_cell_angle_alpha 117.17
_cell_angle_beta 90.00
_cell_angle_gamma 90.00
loop_
_symmetry_equiv_pos_as_xyz
'x,y,z'
loop_
_atom_site_label
_atom_site_type_symbol
_atom_site_fract_x
_atom_site_fract_y
_atom_site_fract_z
In1 In 0.250 0.264 0.224
S1 S 0.750 0.955 0.732
S2 S 0.750 0.137 0.078
Ga1 Ga 0.750 0.163 0.906
In2 In 0.750 0.950 0.355
S3 S 0.250 0.640 0.602
S4 S 0.250 0.493 0.224
Ga2 Ga 0.250 0.837 0.094
Bi1 Bi 0.750 0.600 0.396
Bi2 Bi 0.250 0.400 0.604
In3 In 0.250 0.050 0.645
S5 S 0.250 0.261 0.871
S6 S 0.250 0.843 0.431
In4 In 0.750 0.736 0.776
S7 S 0.750 0.157 0.569
S8 S 0.250 0.045 0.268
S9 S 0.750 0.360 0.398
S10 S 0.750 0.739 0.129
S11 S 0.750 0.507 0.776
S12 S 0.250 0.863 0.922
```

Record 7
This record from Alexandria via LeMat-Bulk describes a crystal of TaGaBi2Ir relaxed with PBEsol. The functional is SCAN.

Summary:
V = 27.7 A^3/atom
Symmetry = No. 123

Structure (CIF):
```
data_TaGaBi2Ir
_symmetry_space_group_name_H-M 'P 1'
_symmetry_Int_Tables_number 1
_cell_length_a 4.884
_cell_length_b 5.326
_cell_length_c 5.326
_cell_angle_alpha 90.00
_cell_angle_beta 90.00
_cell_angle_gamma 90.00
loop_
_symmetry_equiv_pos_as_xyz
'x,y,z'
loop_
_atom_site_label
_atom_site_type_symbol
_atom_site_fract_x
_atom_site_fract_y
_atom_site_fract_z
Bi1 Bi 0.000 0.000 0.500
Ta1 Ta 0.500 0.000 0.000
Ir1 Ir 0.000 0.000 0.000
Ga1 Ga 0.500 0.500 0.500
Bi2 Bi 0.000 0.500 0.000
```

Record 8
This record from Alexandria via LeMat-Bulk describes a crystal of K2GaBi2 relaxed with PBEsol. The functional is SCAN.

Summary:
V = 34.4 A^3/atom
Symmetry = No. 127

Structure (CIF):
```
data_K2GaBi2
_symmetry_space_group_name_H-M 'P 1'
_symmetry_Int_Tables_number 1
_cell_length_a 5.703
_cell_length_b 7.767
_cell_length_c 7.767
_cell_angle_alpha 90.00
_cell_angle_beta 90.00
_cell_angle_gamma 90.00
loop_
_symmetry_equiv_pos_as_xyz
'x,y,z'
loop_
_atom_site_label
_atom_site_type_symbol
_atom_site_fract_x
_atom_site_fract_y
_atom_site_fract_z
Ga1 Ga 0.000 0.000 0.000
K1 K 0.500 0.335 0.165
K2 K 0.500 0.665 0.835
K3 K 0.500 0.835 0.335
Ga2 Ga 0.000 0.500 0.500
Bi1 Bi 0.000 0.644 0.144
K4 K 0.500 0.165 0.665
Bi2 Bi 0.000 0.144 0.356
Bi3 Bi 0.000 0.356 0.856
Bi4 Bi 0.000 0.856 0.644
```

Record 9
This record from Alexandria via LeMat-Bulk describes a crystal of KGa2Bi2 relaxed with PBEsol. The functional is SCAN.

Summary:
V = 28.4 A^3/atom
Symmetry = No. 139

Structure (CIF):
```
data_KGa2Bi2
_symmetry_space_group_name_H-M 'P 1'
_symmetry_Int_Tables_number 1
_cell_length_a 5.240
_cell_length_b 5.240
_cell_length_c 6.368
_cell_angle_alpha 114.30
_cell_angle_beta 114.30
_cell_angle_gamma 90.00
loop_
_symmetry_equiv_pos_as_xyz
'x,y,z'
loop_
_atom_site_label
_atom_site_type_symbol
_atom_site_fract_x
_atom_site_fract_y
_atom_site_fract_z
Bi1 Bi 0.250 0.750 0.500
Ga1 Ga 0.621 0.621 0.242
K1 K 0.000 0.000 0.000
Bi2 Bi 0.750 0.250 0.500
Ga2 Ga 0.379 0.379 0.758
```

Record 10
This record from Alexandria via LeMat-Bulk describes a crystal of K3GaBi relaxed with PBEsol. The functional is SCAN.

Summary:
V = 60.1 A^3/atom
Symmetry = No. 221
Excess energy over the best structure of this formula in the dataset = 0.000 eV/atom

Structure (CIF):
```
data_K3GaBi
_symmetry_space_group_name_H-M 'P 1'
_symmetry_Int_Tables_number 1
_cell_length_a 6.696
_cell_length_b 6.696
_cell_length_c 6.696
_cell_angle_alpha 90.00
_cell_angle_beta 90.00
_cell_angle_gamma 90.00
loop_
_symmetry_equiv_pos_as_xyz
'x,y,z'
loop_
_atom_site_label
_atom_site_type_symbol
_atom_site_fract_x
_atom_site_fract_y
_atom_site_fract_z
Bi1 Bi 0.000 0.000 0.000
Ga1 Ga 0.500 0.500 0.500
K1 K 0.500 0.000 0.000
K2 K 0.000 0.500 0.000
K3 K 0.000 0.000 0.500
```

Record 11
This record from Alexandria via LeMat-Bulk describes a crystal of Li2GaBi relaxed with PBEsol. The functional is SCAN.

Summary:
V = 21.3 A^3/atom
Symmetry = No. 122

Structure (CIF):
```
data_Li2GaBi
_symmetry_space_group_name_H-M 'P 1'
_symmetry_Int_Tables_number 1
_cell_length_a 4.218
_cell_length_b 4.218
_cell_length_c 10.025
_cell_angle_alpha 102.14
_cell_angle_beta 102.14
_cell_angle_gamma 90.00
loop_
_symmetry_equiv_pos_as_xyz
'x,y,z'
loop_
_atom_site_label
_atom_site_type_symbol
_atom_site_fract_x
_atom_site_fract_y
_atom_site_fract_z
Li1 Li 0.125 0.143 0.750
Bi1 Bi 0.000 0.000 0.000
Li2 Li 0.857 0.375 0.250
Bi2 Bi 0.250 0.750 0.500
Ga1 Ga 0.500 0.500 0.000
Ga2 Ga 0.750 0.250 0.500
Li3 Li 0.625 0.607 0.750
Li4 Li 0.393 0.875 0.250
```

Record 12
This record from Alexandria via LeMat-Bulk describes a crystal of Li2GaBi2 relaxed with PBEsol. The functional is SCAN.

Summary:
V = 25.5 A^3/atom
Symmetry = No. 139

Structure (CIF):
```
data_Li2GaBi2
_symmetry_space_group_name_H-M 'P 1'
_symmetry_Int_Tables_number 1
_cell_length_a 4.586
_cell_length_b 4.586
_cell_length_c 6.871
_cell_angle_alpha 109.49
_cell_angle_beta 109.49
_cell_angle_gamma 90.00
loop_
_symmetry_equiv_pos_as_xyz
'x,y,z'
loop_
_atom_site_label
_atom_site_type_symbol
_atom_site_fract_x
_atom_site_fract_y
_atom_site_fract_z
Bi1 Bi 0.383 0.383 0.766
Li1 Li 0.250 0.750 0.500
Li2 Li 0.750 0.250 0.500
Ga1 Ga 0.000 0.000 0.000
Bi2 Bi 0.617 0.617 0.234
```

Record 13
This record from Alexandria via LeMat-Bulk describes a crystal of LiGa3Bi relaxed with PBEsol. The functional is SCAN.

Summary:
V = 35.3 A^3/atom
Symmetry = No. 221

Structure (CIF):
```
data_LiGa3Bi
_symmetry_space_group_name_H-M 'P 1'
_symmetry_Int_Tables_number 1
_cell_length_a 5.612
_cell_length_b 5.612
_cell_length_c 5.612
_cell_angle_alpha 90.00
_cell_angle_beta 90.00
_cell_angle_gamma 90.00
loop_
_symmetry_equiv_pos_as_xyz
'x,y,z'
loop_
_atom_site_label
_atom_site_type_symbol
_atom_site_fract_x
_atom_site_fract_y
_atom_site_fract_z
Bi1 Bi 0.000 0.000 0.000
Ga1 Ga 0.000 0.000 0.500
Ga2 Ga 0.000 0.500 0.000
Li1 Li 0.500 0.500 0.500
Ga3 Ga 0.500 0.000 0.000
```

Record 14
This record from Alexandria via LeMat-Bulk describes a crystal of Mg2Ga2Bi relaxed with PBEsol. The functional is SCAN.

Summary:
V = 21.4 A^3/atom
Symmetry = No. 127

Structure (CIF):
```
data_Mg2Ga2Bi
_symmetry_space_group_name_H-M 'P 1'
_symmetry_Int_Tables_number 1
_cell_length_a 3.108
_cell_length_b 8.302
_cell_length_c 8.302
_cell_angle_alpha 90.00
_cell_angle_beta 90.00
_cell_angle_gamma 90.00
loop_
_symmetry_equiv_pos_as_xyz
'x,y,z'
loop_
_atom_site_label
_atom_site_type_symbol
_atom_site_fract_x
_atom_site_fract_y
_atom_site_fract_z
Mg1 Mg 0.500 0.183 0.683
Ga1 Ga 0.000 0.114 0.386
Bi1 Bi 0.000 0.000 0.000
Mg2 Mg 0.500 0.683 0.817
Ga2 Ga 0.000 0.614 0.114
Ga3 Ga 0.000 0.886 0.614
Bi2 Bi 0.000 0.500 0.500
Mg3 Mg 0.500 0.817 0.317
Mg4 Mg 0.500 0.317 0.183
Ga4 Ga 0.000 0.386 0.886
```

Record 15
This record from Alexandria via LeMat-Bulk describes a crystal of MgGa2Bi relaxed with PBEsol. The functional is SCAN.

Summary:
V = 22.7 A^3/atom
Symmetry = No. 225

Structure (CIF):
```
data_MgGa2Bi
_symmetry_space_group_name_H-M 'P 1'
_symmetry_Int_Tables_number 1
_cell_length_a 5.045
_cell_length_b 5.045
_cell_length_c 5.045
_cell_angle_alpha 60.00
_cell_angle_beta 60.00
_cell_angle_gamma 60.00
loop_
_symmetry_equiv_pos_as_xyz
'x,y,z'
loop_
_atom_site_label
_atom_site_type_symbol
_atom_site_fract_x
_atom_site_fract_y
_atom_site_fract_z
Mg1 Mg 0.000 0.000 0.000
Ga1 Ga 0.750 0.750 0.750
Ga2 Ga 0.250 0.250 0.250
Bi1 Bi 0.500 0.500 0.500
```

Record 16
This record from Alexandria via LeMat-Bulk describes a crystal of Mg3GaBi relaxed with PBEsol. The functional is SCAN.

Summary:
V = 25.4 A^3/atom
Symmetry = No. 221

Structure (CIF):
```
data_Mg3GaBi
_symmetry_space_group_name_H-M 'P 1'
_symmetry_Int_Tables_number 1
_cell_length_a 5.029
_cell_length_b 5.029
_cell_length_c 5.029
_cell_angle_alpha 90.00
_cell_angle_beta 90.00
_cell_angle_gamma 90.00
loop_
_symmetry_equiv_pos_as_xyz
'x,y,z'
loop_
_atom_site_label
_atom_site_type_symbol
_atom_site_fract_x
_atom_site_fract_y
_atom_site_fract_z
Bi1 Bi 0.500 0.500 0.500
Mg1 Mg 0.000 0.000 0.500
Ga1 Ga 0.000 0.000 0.000
Mg2 Mg 0.500 0.000 0.000
Mg3 Mg 0.000 0.500 0.000
```

Record 17
This record from Alexandria via LeMat-Bulk describes a crystal of Mn2GaBiSe relaxed with PBEsol. The functional is SCAN.

Summary:
V = 23.9 A^3/atom
Raw formation energy = 0.41 eV/atom
Symmetry = No. 123

Structure (CIF):
```
data_Mn2GaBiSe
_symmetry_space_group_name_H-M 'P 1'
_symmetry_Int_Tables_number 1
_cell_length_a 4.562
_cell_length_b 4.562
_cell_length_c 5.746
_cell_angle_alpha 90.00
_cell_angle_beta 90.00
_cell_angle_gamma 90.00
loop_
_symmetry_equiv_pos_as_xyz
'x,y,z'
loop_
_atom_site_label
_atom_site_type_symbol
_atom_site_fract_x
_atom_site_fract_y
_atom_site_fract_z
Bi1 Bi 0.000 0.000 0.500
Mn1 Mn 0.500 0.000 0.000
Mn2 Mn 0.000 0.500 0.000
Ga1 Ga 0.500 0.500 0.500
Se1 Se 0.000 0.000 0.000
```

Record 18
This record from Alexandria via LeMat-Bulk describes a crystal of GaBiN3 relaxed with PBEsol. The functional is SCAN.

Summary:
V = 12.3 A^3/atom
Raw formation energy = 1.25 eV/atom
Symmetry = No. 221

Structure (CIF):
```
data_GaBiN3
_symmetry_space_group_name_H-M 'P 1'
_symmetry_Int_Tables_number 1
_cell_length_a 3.950
_cell_length_b 3.950
_cell_length_c 3.950
_cell_angle_alpha 90.00
_cell_angle_beta 90.00
_cell_angle_gamma 90.00
loop_
_symmetry_equiv_pos_as_xyz
'x,y,z'
loop_
_atom_site_label
_atom_site_type_symbol
_atom_site_fract_x
_atom_site_fract_y
_atom_site_fract_z
N1 N 0.500 0.000 0.000
Bi1 Bi 0.500 0.500 0.500
N2 N 0.000 0.000 0.500
Ga1 Ga 0.000 0.000 0.000
N3 N 0.000 0.500 0.000
```

Record 19
This record from Alexandria via LeMat-Bulk describes a crystal of GaBiTeN2 relaxed with PBEsol. The functional is SCAN.

Summary:
V = 23.2 A^3/atom
Raw formation energy = 1.52 eV/atom
Symmetry = No. 123

Structure (CIF):
```
data_GaBiTeN2
_symmetry_space_group_name_H-M 'P 1'
_symmetry_Int_Tables_number 1
_cell_length_a 4.304
_cell_length_b 4.304
_cell_length_c 6.263
_cell_angle_alpha 90.00
_cell_angle_beta 90.00
_cell_angle_gamma 90.00
loop_
_symmetry_equiv_pos_as_xyz
'x,y,z'
loop_
_atom_site_label
_atom_site_type_symbol
_atom_site_fract_x
_atom_site_fract_y
_atom_site_fract_z
Bi1 Bi 0.000 0.000 0.000
N1 N 0.500 0.000 0.000
Te1 Te 0.000 0.000 0.500
N2 N 0.000 0.500 0.000
Ga1 Ga 0.500 0.500 0.500
```

Record 20
This record from Alexandria via LeMat-Bulk describes a crystal of NaGa2Bi2 relaxed with PBEsol. The functional is SCAN.

Summary:
V = 29.2 A^3/atom
Symmetry = No. 139

Structure (CIF):
```
data_NaGa2Bi2
_symmetry_space_group_name_H-M 'P 1'
_symmetry_Int_Tables_number 1
_cell_length_a 4.519
_cell_length_b 4.519
_cell_length_c 7.823
_cell_angle_alpha 106.79
_cell_angle_beta 106.79
_cell_angle_gamma 90.00
loop_
_symmetry_equiv_pos_as_xyz
'x,y,z'
loop_
_atom_site_label
_atom_site_type_symbol
_atom_site_fract_x
_atom_site_fract_y
_atom_site_fract_z
Na1 Na 0.000 0.000 0.000
Bi1 Bi 0.376 0.376 0.752
Ga1 Ga 0.250 0.750 0.500
Bi2 Bi 0.624 0.624 0.248
Ga2 Ga 0.750 0.250 0.500
```

| no. | raw total energy (eV for the cell shown) |
| --- | --- |
| 1 | -202.5 |
| 2 | -283.1 |
| 3 | -222.6 |
| 4 | -444.7 |
| 5 | -414.0 |
| 6 | -451.3 |
| 7 | -306.1 |
| 8 | -383.2 |
| 9 | -199.1 |
| 10 | -118.8 |
| 11 | -200.5 |
| 12 | -178.4 |
| 13 | -126.7 |
| 14 | -243.3 |
| 15 | -115.8 |
| 16 | -109.5 |
| 17 | -149.5 |
| 18 | -116.6 |
| 19 | -143.2 |
| 20 | -194.4 |